P | Entry from the Alexandria database: a relaxed Co3RhC crystal (GGA-PBE).

POSCAR file:
```
Co3RhC
1.0
3.796 0.000 0.000
0.000 3.796 0.000
0.000 0.000 3.796
Co Rh C
3 1 1
Direct
0.000 0.000 0.500
0.000 0.500 0.000
0.500 0.000 0.000
0.500 0.500 0.500
0.000 0.000 0.000
```

Summary:
Symmetry: Pm-3m (221)
Crystal system: cubic
Volume, Å³ per cell: 54.7
DOS at the Fermi energy, states/eV/cell: 8.34

Q | Entry from the Alexandria database: a relaxed Co3RhC crystal (GGA-PBE).

POSCAR file:
```
Co3RhC
1.0
4.512 0.000 0.000
0.000 4.512 0.000
0.000 0.000 4.512
Co Rh C
3 1 1
Direct
0.000 0.000 0.500
0.000 0.500 0.000
0.500 0.000 0.000
0.000 0.000 0.000
0.500 0.500 0.500
```

Summary:
Symmetry: Pm-3m (221)
Crystal system: cubic
Volume, Å³ per cell: 91.8
DOS at the Fermi energy, states/eV/cell: 7.37

P is the most stable structure shown above.